AuCN3 | GGA-PBE | relaxed

Output
Total moment (μB/f.u.): 0.00
Calculated total energy (eV/atom): -4.71

a b c (Å): 3.4632 3.4632 3.4632
angles (deg): 90.00 90.00 90.00
Atoms (fractional coordinates):
N (0.0000, 0.5000, 0.0000)
Au (0.5000, 0.5000, 0.5000)
C (0.0000, 0.0000, 0.0000)
N (0.0000, 0.0000, 0.5000)
N (0.5000, 0.0000, 0.0000)

---

HoThAl4 | GGA-PBE | relaxed

Output
ΔE to the lowest computed polymorph (eV/atom): 0.000
Total moment (μB/f.u.): 0.00
Calculated total energy (eV/atom): -4.95
Energy of formation (eV/atom): -0.456

a b c (Å): 5.6290 5.6290 5.6290
angles (deg): 60.00 60.00 60.00
Atoms (fractional coordinates):
Th (0.0000, 0.0000, 0.0000)
Al (0.6251, 0.6251, 0.6251)
Al (0.6251, 0.1247, 0.6251)
Al (0.6251, 0.6251, 0.1247)
Ho (0.2500, 0.2500, 0.2500)
Al (0.1247, 0.6251, 0.6251)

---

TbHoIr | GGA-PBE | relaxed

Output
ΔE to the lowest computed polymorph (eV/atom): 0.133
Total moment (μB/f.u.): 0.00
Calculated total energy (eV/atom): -6.60
Energy of formation (eV/atom): -0.573

a b c (Å): 3.4722 3.4722 6.8224
angles (deg): 104.74 104.74 90.00
Atoms (fractional coordinates):
Tb (0.0387, 0.0387, 0.0775)
Ho (0.2934, 0.2934, 0.5868)
Ir (0.6678, 0.6678, 0.3357)

---

CaAc2Y2 | GGA-PBE | relaxed

Output
Total moment (μB/f.u.): 0.00
Calculated total energy (eV/atom): -4.59
Energy of formation (eV/atom): 0.042

a b c (Å): 6.1391 5.9641 11.2416
angles (deg): 89.98 105.85 90.00
Atoms (fractional coordinates):
Y (0.5990, 0.2501, 0.5765)
Ac (0.8332, 0.7497, 0.2254)
Y (0.0225, 0.2499, 0.4235)
Ca (0.2341, 0.7500, 0.0000)
Y (0.4010, 0.7499, 0.4235)
Y (0.9775, 0.7501, 0.5765)
Ac (0.1668, 0.2503, 0.7746)
Ac (0.6078, 0.7503, 0.7746)
Ca (0.7659, 0.2500, 0.0000)
Ac (0.3922, 0.2497, 0.2254)

---

ScCrB2I | GGA-PBE | relaxed

Output
Total moment (μB/f.u.): 0.21
Calculated total energy (eV/atom): -4.16

a b c (Å): 4.3811 5.4320 4.3811
angles (deg): 90.00 90.00 90.00
Each line ends with the local moment (μB).
Atoms (fractional coordinates):
B (0.0000, 0.0000, 0.5000)  0.01
Sc (0.0000, 0.0000, 0.0000)  0.01
Cr (0.5000, 0.5000, 0.5000)  0.20
I (0.0000, 0.5000, 0.0000)  -0.02
B (0.5000, 0.0000, 0.0000)  -0.01

---

Cu2Bi2Pb | GGA-PBE | relaxed

Output
ΔE to the lowest computed polymorph (eV/atom): 0.142
Total moment (μB/f.u.): 0.00
Calculated total energy (eV/atom): -3.66
Energy of formation (eV/atom): 0.274

a b c (Å): 4.5951 4.5951 6.7642
angles (deg): 70.14 70.14 90.00
Atoms (fractional coordinates):
Pb (0.0000, 0.0000, 0.0000)
Bi (0.7500, 0.2500, 0.5000)
Cu (0.3987, 0.3987, 0.2026)
Bi (0.2500, 0.7500, 0.5000)
Cu (0.6013, 0.6013, 0.7974)

---

BaPm2PtO5 | GGA-PBE | relaxed

Output
Total moment (μB/f.u.): 2.01
Calculated total energy (eV/atom): -7.05

a b c (Å): 6.7434 6.7434 7.8451
angles (deg): 115.45 115.45 90.00
Each line ends with the local moment (μB).
Atoms (fractional coordinates):
Pt (0.2500, 0.7500, 0.5000)  1.03
Pm (0.8268, 0.6732, 0.0000)  0.03
Pm (0.3268, 0.8268, 0.0000)  0.03
O (0.7532, 0.9799, 0.2331)  0.17
O (0.2532, 0.7532, 0.2331)  0.17
O (0.5000, 0.5000, 0.0000)  0.03
O (0.4799, 0.2532, 0.2331)  0.17
O (0.2468, 0.0201, 0.7669)  0.17
O (0.0201, 0.5201, 0.7669)  0.17
Pt (0.7500, 0.2500, 0.5000)  1.03
Ba (0.7500, 0.7500, 0.5000)  0.00
O (0.9799, 0.4799, 0.2331)  0.17
O (0.5201, 0.7468, 0.7669)  0.17
Pm (0.6732, 0.1732, 0.0000)  0.03
Pm (0.1732, 0.3268, 0.0000)  0.03
O (0.7468, 0.2468, 0.7669)  0.17
O (0.0000, 0.0000, 0.0000)  0.03
Ba (0.2500, 0.2500, 0.5000)  0.00

---

Sr2MgTlNi | GGA-PBE | relaxed

Output
ΔE to the lowest computed polymorph (eV/atom): 0.025
Total moment (μB/f.u.): 0.00
Calculated total energy (eV/atom): -2.67
Energy of formation (eV/atom): -0.046

a b c (Å): 5.7317 5.7317 5.0392
angles (deg): 90.00 90.00 90.00
Atoms (fractional coordinates):
Sr (0.0000, 0.5000, 0.0000)
Mg (0.5000, 0.5000, 0.5000)
Tl (0.0000, 0.0000, 0.5000)
Ni (0.0000, 0.0000, 0.0000)
Sr (0.5000, 0.0000, 0.0000)

---

CeDy14Er | GGA-PBE | relaxed

Output
Total moment (μB/f.u.): 0.85
Calculated total energy (eV/atom): -4.66
Energy of formation (eV/atom): 0.027

a b c (Å): 7.0780 7.0780 10.0080
angles (deg): 90.00 90.00 90.01
Each line ends with the local moment (μB).
Atoms (fractional coordinates):
Dy (0.8750, 0.6250, 0.0000)  0.02
Dy (0.1242, 0.3741, 0.2494)  0.01
Dy (0.6258, 0.3742, 0.2494)  0.01
Dy (0.8749, 0.6249, 0.5000)  -0.01
Dy (0.1242, 0.8758, 0.7506)  0.01
Dy (0.6258, 0.3742, 0.7506)  0.01
Ce (0.8749, 0.1251, 0.0000)  0.69
Er (0.3750, 0.6250, 0.0000)  0.00
Dy (0.1242, 0.3741, 0.7506)  0.01
Dy (0.3750, 0.1250, 0.0000)  0.02
Dy (0.6259, 0.8758, 0.7506)  0.01
Dy (0.1242, 0.8758, 0.2494)  0.01
Dy (0.3751, 0.1251, 0.5000)  -0.01
Dy (0.3749, 0.6251, 0.5000)  -0.04
Dy (0.8751, 0.1249, 0.5000)  -0.01
Dy (0.6259, 0.8758, 0.2494)  0.01

---

Bi3RhBr | GGA-PBE | relaxed

Output
ΔE to the lowest computed polymorph (eV/atom): 1.024
Total moment (μB/f.u.): 0.00
Calculated total energy (eV/atom): -2.87

a b c (Å): 5.5296 5.5296 5.5296
angles (deg): 90.00 90.00 90.00
Atoms (fractional coordinates):
Br (0.0000, 0.0000, 0.0000)
Rh (0.5000, 0.5000, 0.5000)
Bi (0.0000, 0.5000, 0.0000)
Bi (0.5000, 0.0000, 0.0000)
Bi (0.0000, 0.0000, 0.5000)

---

CsLiH6Ir | GGA-PBE | relaxed

Output
Total moment (μB/f.u.): 0.00
Calculated total energy (eV/atom): -3.80

a b c (Å): 5.0658 5.0523 6.5737
angles (deg): 101.61 101.40 45.05
Atoms (fractional coordinates):
H (0.5183, 0.4209, 0.3476)
H (0.0691, 0.4076, 0.3268)
Cs (0.9977, 0.8933, 0.0296)
H (0.2816, 0.1816, 0.6661)
H (0.5509, 0.4355, 0.7114)
H (0.5159, 0.9646, 0.3297)
H (0.9658, 0.7909, 0.5365)
Ir (0.3964, 0.3047, 0.5037)
Li (0.7041, 0.6009, 0.5487)

---

Ba2NaTlI6 | GGA-PBE | relaxed

Output
Total moment (μB/f.u.): 0.00
Calculated total energy (eV/atom): -3.11

a b c (Å): 8.6803 8.6799 9.2227
angles (deg): 61.89 61.89 59.96
Atoms (fractional coordinates):
Tl (0.8158, 0.8159, 0.5523)
Ba (0.5181, 0.5179, 0.4462)
Ba (0.0131, 0.0133, 0.9605)
I (0.9387, 0.5935, 0.2475)
I (0.7066, 0.1211, 0.7591)
Na (0.3208, 0.3206, 0.0377)
I (0.2207, 0.9385, 0.2469)
I (0.1214, 0.4133, 0.7593)
I (0.4131, 0.7064, 0.7588)
I (0.5933, 0.2211, 0.2471)

---

> The lowest calculated total energy belongs to which entry?

BaPm2PtO5

---

> Which of these has the lowest calculated total energy?

BaPm2PtO5

---

> Among the records above, which one has the highest calculated total energy?

Sr2MgTlNi